DFT (PBE) results for a relaxed Cs4CdHg12Pt3 crystal.

abc: 11.0496 11.0496 11.0496
angles: 90.00 90.00 90.00
Last column: nearest neighbours and their distance in Å.
Space group Im-3m (No. 229)
Asymmetric unit:
Cs 0.2500 0.2500 0.2500  12 Hg 3.91
Cd 0.0000 0.0000 0.0000  6 Hg 2.85
Hg 0.0000 0.0000 0.2583  1 Pt 2.67, 1 Cd 2.85
Hg 0.0000 0.2500 0.5000  2 Pt 2.76
Pt 0.0000 0.0000 0.5000  6 Hg 2.67-2.76

## Properties
Calculated formation energy: -0.25 eV per atom
Total moment: 0.0000 μB per atom